Ga5Fe6 (PBE-GGA, optimized geometry); DFT formation energy = -0.145 eV per atom; DFT total energy = -135.01 eV for the cell shown; D(E_F) = 0.70 states/eV/atom
1.0
-5.5634 -2.0846 2.3181
0.8723 -6.2956 0.5246
1.3536 -1.1140 7.4727
Fe Ga
12 10
Direct
0.4605 0.9933 0.1698 Fe
0.5395 0.0067 0.8302 Fe
0.8694 0.8694 0.0153 Fe
0.7198 0.2802 0.5000 Fe
0.0000 0.5000 0.5000 Fe
0.0067 0.5395 0.8302 Fe
0.1306 0.1306 0.9847 Fe
0.3966 0.3966 0.3094 Fe
0.5000 0.0000 0.5000 Fe
0.9933 0.4605 0.1698 Fe
0.2802 0.7198 0.5000 Fe
0.6034 0.6034 0.6906 Fe
0.3769 0.3769 0.9804 Ga
0.8390 0.2331 0.7952 Ga
0.2331 0.8390 0.7952 Ga
0.1610 0.7669 0.2048 Ga
0.7669 0.1610 0.2048 Ga
0.1310 0.1310 0.3988 Ga
0.6231 0.6231 0.0196 Ga
0.8690 0.8690 0.6012 Ga
0.6785 0.6785 0.3453 Ga
0.3215 0.3215 0.6547 Ga

---

GaFe (PBE-GGA, optimized geometry); DFT formation energy = 0.348 eV per atom; DFT total energy = -43.18 eV for the cell shown; D(E_F) = 0.91 states/eV/atom
1.0
4.8945 0.0000 0.0000
0.0000 4.8945 0.0000
0.0000 0.0000 4.8945
Ga Fe
4 4
Direct
0.0000 0.0000 0.5000 Ga
0.5000 0.0000 0.0000 Ga
0.5000 0.5000 0.5000 Ga
0.0000 0.5000 0.0000 Ga
0.5000 0.5000 0.0000 Fe
0.0000 0.5000 0.5000 Fe
0.5000 0.0000 0.5000 Fe
0.0000 0.0000 0.0000 Fe

---

GaFe2 (PBE-GGA, optimized geometry); DFT formation energy = 0.002 eV per atom; DFT total energy = -19.95 eV for the cell shown; D(E_F) = 0.72 states/eV/atom
1.0
-2.5068 -5.6011 -0.1071
0.0513 -6.0052 -0.2114
-0.5905 -0.5217 2.4693
Ga Fe
1 2
Direct
0.0000 0.0000 0.0000 Ga
0.6682 0.6682 0.3318 Fe
0.3318 0.3318 0.6682 Fe

---

GaFe (PBE-GGA, optimized geometry); DFT formation energy = 0.639 eV per atom; DFT total energy = -81.69 eV for the cell shown; D(E_F) = 1.18 states/eV/atom
1.0
7.3863 0.0000 0.0000
0.0000 7.3863 0.0000
0.0000 0.0000 7.3863
Ga Fe
8 8
Direct
0.2045 0.2045 0.7955 Ga
0.2045 0.7955 0.2045 Ga
0.2955 0.7045 0.7045 Ga
0.7955 0.7955 0.7955 Ga
0.2955 0.2955 0.2955 Ga
0.7045 0.2955 0.7045 Ga
0.7955 0.2045 0.2045 Ga
0.7045 0.7045 0.2955 Ga
0.1112 0.1112 0.1112 Fe
0.3888 0.6112 0.3888 Fe
0.8888 0.1112 0.8888 Fe
0.6112 0.3888 0.3888 Fe
0.3888 0.3888 0.6112 Fe
0.8888 0.8888 0.1112 Fe
0.1112 0.8888 0.8888 Fe
0.6112 0.6112 0.6112 Fe

---

Q: The highest DFT total energy belongs to which entry?
A: GaFe2

---

Q: Among the records above, which one has the highest D(E_F)?
A: number 4

---

Q: D(E_F) of number 3 (GaFe2)?
A: 0.72 states/eV/atom